First-principles (GGA-PBE) data for LaCe2InN after structural relaxation, as listed in Alexandria via LeMat-Bulk.

## Properties
The volume comes out at 25.0 A^3/atom. The electronic total energy is -6.391 eV per atom. Its formation energy without anion corrections is -820 meV/atom. Its magnetization is 1.7 μB/f.u. Its density of states at the Fermi level is 9.552 states/eV per cell.

Cell: 4.925 4.925 5.152 Å, 90.00 90.00 90.00°
Fractional coordinates of all 5 atoms:
La (0.000, 0.000, 0.000)
Ce (0.000, 0.500, 0.500)
Ce (0.500, 0.000, 0.500)
In (0.500, 0.500, 0.000)
N (0.000, 0.000, 0.500)

=====

First-principles (GGA-PBE) data for Tm4Tl2C after structural relaxation, as listed in Alexandria via LeMat-Bulk.

## Properties
The volume comes out at 25.6 A^3/atom. The electronic total energy is -4.742 eV per atom. The value obtained for the formation enthalpy at 0 K is -193 meV/atom. Its magnetization is 0.0 μB/f.u. For the relative energy among the computed polymorphs, the calculation gives 156.7 meV per atom. Its density of states at the Fermi level is 6.618 states/eV per cell.

Cell: 6.334 3.610 8.106 Å, 90.00 104.72 90.00°
Fractional coordinates of all 7 atoms:
Tm (0.140, 0.000, 0.314)
Tm (0.236, 0.500, 0.980)
Tm (0.764, 0.500, 0.020)
Tm (0.860, 0.000, 0.686)
Tl (0.397, 0.500, 0.658)
Tl (0.603, 0.500, 0.342)
C (0.000, 0.000, 0.000)

=====

First-principles (GGA-PBE) data for V4P2H after structural relaxation, as listed in Alexandria via LeMat-Bulk.

## Properties
The volume comes out at 11.4 A^3/atom. The electronic total energy is -7.816 eV per atom. Its magnetization is 1.1 μB/f.u. For the relative energy among the computed polymorphs, the calculation gives 0.0 meV per atom. Its density of states at the Fermi level is 6.404 states/eV per cell.

Cell: 6.831 6.831 6.831 Å, 149.89 149.89 43.11°
Fractional coordinates of all 7 atoms:
V (0.000, 0.500, 0.500)
V (0.174, 0.174, 0.000)
V (0.500, 0.000, 0.500)
V (0.826, 0.826, 0.000)
P (0.360, 0.360, 0.000)
P (0.640, 0.640, 0.000)
H (0.000, 0.000, 0.000)

=====

First-principles (GGA-PBE) data for LaAl3Fe2 after structural relaxation, as listed in Alexandria via LeMat-Bulk.

## Properties
The volume comes out at 17.5 A^3/atom. The electronic total energy is -5.884 eV per atom. The value obtained for the formation enthalpy at 0 K is -371 meV/atom. Its magnetization is 3.0 μB/f.u. Its density of states at the Fermi level is 7.816 states/eV per cell.

Cell: 6.491 6.491 5.111 Å, 90.00 90.00 77.47°
Fractional coordinates of all 12 atoms:
La (0.156, 0.844, 0.750)
La (0.844, 0.156, 0.250)
Al (0.032, 0.572, 0.250)
Al (0.428, 0.968, 0.250)
Al (0.448, 0.552, 0.250)
Al (0.552, 0.448, 0.750)
Al (0.572, 0.032, 0.750)
Al (0.968, 0.428, 0.750)
Fe (0.292, 0.292, 0.000)
Fe (0.292, 0.292, 0.500)
Fe (0.708, 0.708, 0.000)
Fe (0.708, 0.708, 0.500)

=====

First-principles (GGA-PBE) data for ZrGa2Mo after structural relaxation, as listed in Alexandria via LeMat-Bulk.

## Properties
The volume comes out at 16.9 A^3/atom. The electronic total energy is -6.500 eV per atom. The value obtained for the formation enthalpy at 0 K is -142 meV/atom. Its magnetization is 0.0 μB/f.u. For the relative energy among the computed polymorphs, the calculation gives 0.0 meV per atom. Its density of states at the Fermi level is 5.087 states/eV per cell.

Cell: 4.576 4.576 4.576 Å, 60.00 60.00 60.00°
Fractional coordinates of all 4 atoms:
Zr (0.000, 0.000, 0.000)
Ga (0.250, 0.250, 0.250)
Ga (0.750, 0.750, 0.750)
Mo (0.500, 0.500, 0.500)

=====

First-principles (GGA-PBE) data for KBeIr2Ru after structural relaxation, as listed in Alexandria via LeMat-Bulk.

## Properties
The volume comes out at 24.6 A^3/atom. The electronic total energy is -4.514 eV per atom. The value obtained for the formation enthalpy at 0 K is 1851 meV/atom. Its magnetization is 0.0 μB/f.u. Its density of states at the Fermi level is 5.794 states/eV per cell.

Cell: 4.702 4.702 5.574 Å, 90.00 90.00 90.00°
Fractional coordinates of all 5 atoms:
K (0.000, 0.000, 0.000)
Be (0.500, 0.500, 0.000)
Ir (0.000, 0.500, 0.500)
Ir (0.500, 0.000, 0.500)
Ru (0.000, 0.000, 0.500)

=====

First-principles (GGA-PBE) data for LiMgZn after structural relaxation, as listed in Alexandria via LeMat-Bulk.

## Properties
The volume comes out at 18.5 A^3/atom. The electronic total energy is -1.637 eV per atom. The value obtained for the formation enthalpy at 0 K is -43 meV/atom. Its magnetization is 0.0 μB/f.u. For the relative energy among the computed polymorphs, the calculation gives 87.3 meV per atom. Its density of states at the Fermi level is 0.159 states/eV per cell.

Cell: 3.003 3.003 7.103 Å, 90.00 90.00 120.00°
Fractional coordinates of all 3 atoms:
Li (0.000, 0.000, 0.000)
Mg (0.333, 0.667, 0.358)
Zn (0.667, 0.333, 0.696)

=====

First-principles (GGA-PBE) data for SrCdPb4 after structural relaxation, as listed in Alexandria via LeMat-Bulk.

## Properties
The volume comes out at 31.8 A^3/atom. The electronic total energy is -3.029 eV per atom. The value obtained for the formation enthalpy at 0 K is -124 meV/atom. Its magnetization is 0.0 μB/f.u. For the relative energy among the computed polymorphs, the calculation gives 0.0 meV per atom. Its density of states at the Fermi level is 8.216 states/eV per cell.

Cell: 11.171 11.171 6.081 Å, 105.62 105.62 31.58°
Fractional coordinates of all 12 atoms:
Sr (0.248, 0.752, 0.750)
Sr (0.752, 0.248, 0.250)
Cd (0.000, 0.500, 0.000)
Cd (0.500, 0.000, 0.500)
Pb (0.076, 0.581, 0.580)
Pb (0.154, 0.648, 0.151)
Pb (0.352, 0.846, 0.349)
Pb (0.419, 0.924, 0.920)
Pb (0.581, 0.076, 0.080)
Pb (0.648, 0.154, 0.651)
Pb (0.846, 0.352, 0.849)
Pb (0.924, 0.419, 0.420)

=====

First-principles (GGA-PBE) data for Cu2AgSe after structural relaxation, as listed in Alexandria via LeMat-Bulk.

## Properties
The volume comes out at 17.8 A^3/atom. The electronic total energy is -3.491 eV per atom. Its formation energy without anion corrections is 141 meV/atom. Its magnetization is 0.0 μB/f.u. Its density of states at the Fermi level is 0.624 states/eV per cell.

Cell: 4.246 4.246 6.849 Å, 110.39 110.39 38.23°
Fractional coordinates of all 4 atoms:
Cu (0.000, 0.000, 0.000)
Cu (0.222, 0.222, 0.823)
Ag (0.428, 0.428, 0.605)
Se (0.790, 0.790, 0.202)

=====

First-principles (GGA-PBE) data for RbTl2MoBr8 after structural relaxation, as listed in Alexandria via LeMat-Bulk.

## Properties
The volume comes out at 38.0 A^3/atom. The electronic total energy is -3.291 eV per atom. Its formation energy without anion corrections is -798 meV/atom. Its magnetization is 1.0 μB/f.u. Its density of states at the Fermi level is 5.341 states/eV per cell.

Cell: 6.602 9.578 7.763 Å, 90.00 111.80 90.00°
Fractional coordinates of all 12 atoms:
Rb (0.000, 0.000, 0.000)
Tl (0.000, 0.240, 0.500)
Tl (0.000, 0.760, 0.500)
Mo (0.000, 0.500, 0.000)
Br (0.233, 0.500, 0.809)
Br (0.242, 0.314, 0.213)
Br (0.242, 0.686, 0.213)
Br (0.291, 0.000, 0.709)
Br (0.709, 0.000, 0.291)
Br (0.758, 0.314, 0.787)
Br (0.758, 0.686, 0.787)
Br (0.767, 0.500, 0.191)

=====

First-principles (GGA-PBE) data for Rb2CoAgBr6 after structural relaxation, as listed in Alexandria via LeMat-Bulk.

## Properties
The volume comes out at 29.5 A^3/atom. The electronic total energy is -3.050 eV per atom. Its formation energy without anion corrections is -857 meV/atom. Its magnetization is 0.0 μB/f.u. For the relative energy among the computed polymorphs, the calculation gives 4.0 meV per atom. Its density of states at the Fermi level is 0.211 states/eV per cell.

Cell: 7.473 7.473 7.473 Å, 119.98 119.98 90.04°
Fractional coordinates of all 10 atoms:
Rb (0.250, 0.750, 0.500)
Rb (0.750, 0.250, 0.500)
Co (0.000, 0.000, 0.000)
Ag (0.500, 0.500, 0.000)
Br (0.233, 0.233, 0.000)
Br (0.233, 0.233, 0.466)
Br (0.233, 0.767, 0.000)
Br (0.767, 0.233, 0.000)
Br (0.767, 0.767, 0.000)
Br (0.767, 0.767, 0.534)

=====

First-principles (GGA-PBE) data for Tl2SiRu after structural relaxation, as listed in Alexandria via LeMat-Bulk.

## Properties
The volume comes out at 19.7 A^3/atom. The electronic total energy is -4.078 eV per atom. Its formation energy without anion corrections is 779 meV/atom. Its magnetization is 0.6 μB/f.u. For the relative energy among the computed polymorphs, the calculation gives 736.8 meV per atom. Its density of states at the Fermi level is 3.868 states/eV per cell.

Cell: 5.241 5.241 5.241 Å, 131.54 131.54 70.96°
Fractional coordinates of all 4 atoms:
Tl (0.250, 0.750, 0.500)
Tl (0.750, 0.250, 0.500)
Si (0.000, 0.000, 0.000)
Ru (0.500, 0.500, 0.000)

=====

First-principles (GGA-PBE) data for ErPuGaCu after structural relaxation, as listed in Alexandria via LeMat-Bulk.

## Properties
The volume comes out at 21.8 A^3/atom. The electronic total energy is -6.729 eV per atom. The value obtained for the formation enthalpy at 0 K is -225 meV/atom. Its magnetization is 5.7 μB/f.u. Its density of states at the Fermi level is 7.010 states/eV per cell.

Cell: 4.976 4.976 4.976 Å, 60.00 60.00 60.00°
Fractional coordinates of all 4 atoms:
Er (0.000, 0.000, 0.000)
Pu (0.500, 0.500, 0.500)
Ga (0.250, 0.250, 0.250)
Cu (0.750, 0.750, 0.750)

=====

First-principles (GGA-PBE) data for OsBr4 after structural relaxation, as listed in Alexandria via LeMat-Bulk.

## Properties
The volume comes out at 26.4 A^3/atom. The electronic total energy is -2.823 eV per atom. Its formation energy without anion corrections is 762 meV/atom. Its magnetization is 2.4 μB/f.u. For the relative energy among the computed polymorphs, the calculation gives 840.8 meV per atom. Its density of states at the Fermi level is 6.580 states/eV per cell.

Cell: 5.554 5.554 5.554 Å, 109.47 109.47 109.47°
Fractional coordinates of all 5 atoms:
Os (0.000, 0.000, 0.000)
Br (0.000, 0.000, 0.500)
Br (0.000, 0.500, 0.000)
Br (0.500, 0.000, 0.000)
Br (0.500, 0.500, 0.500)

=====

First-principles (GGA-PBE) data for Pr3Cu2RhO9 after structural relaxation, as listed in Alexandria via LeMat-Bulk.

## Properties
The volume comes out at 12.0 A^3/atom. The electronic total energy is -6.821 eV per atom. Its formation energy without anion corrections is -1854 meV/atom. Its magnetization is 1.2 μB/f.u. Its density of states at the Fermi level is 8.983 states/eV per cell.

Cell: 5.492 5.492 6.913 Å, 90.00 90.00 120.00°
Fractional coordinates of all 15 atoms:
Pr (0.000, 0.000, 0.000)
Pr (0.333, 0.667, 0.701)
Pr (0.667, 0.333, 0.299)
Cu (0.333, 0.667, 0.167)
Cu (0.667, 0.333, 0.833)
Rh (0.000, 0.000, 0.500)
O (0.000, 0.500, 0.000)
O (0.161, 0.323, 0.318)
O (0.161, 0.839, 0.318)
O (0.323, 0.161, 0.682)
O (0.500, 0.000, 0.000)
O (0.500, 0.500, 0.000)
O (0.677, 0.839, 0.318)
O (0.839, 0.161, 0.682)
O (0.839, 0.677, 0.682)

=====

First-principles (GGA-PBE) data for YP2Ir3 after structural relaxation, as listed in Alexandria via LeMat-Bulk.

## Properties
The volume comes out at 16.0 A^3/atom. The electronic total energy is -8.174 eV per atom. The value obtained for the formation enthalpy at 0 K is -863 meV/atom. Its magnetization is 0.0 μB/f.u. Its density of states at the Fermi level is 5.005 states/eV per cell.

Cell: 8.189 8.189 9.727 Å, 107.00 107.00 27.53°
Fractional coordinates of all 18 atoms:
Y (0.000, 0.000, 0.000)
Y (0.152, 0.152, 0.690)
Y (0.848, 0.848, 0.310)
P (0.201, 0.201, 0.135)
P (0.364, 0.364, 0.548)
P (0.460, 0.460, 0.221)
P (0.540, 0.540, 0.779)
P (0.636, 0.636, 0.452)
P (0.799, 0.799, 0.865)
Ir (0.041, 0.041, 0.320)
Ir (0.226, 0.226, 0.395)
Ir (0.325, 0.325, 0.054)
Ir (0.369, 0.369, 0.791)
Ir (0.500, 0.500, 0.500)
Ir (0.631, 0.631, 0.209)
Ir (0.675, 0.675, 0.946)
Ir (0.774, 0.774, 0.605)
Ir (0.959, 0.959, 0.680)

=====

First-principles (GGA-PBE) data for Pa2SnPd after structural relaxation, as listed in Alexandria via LeMat-Bulk.

## Properties
The volume comes out at 23.0 A^3/atom. The electronic total energy is -7.365 eV per atom. The value obtained for the formation enthalpy at 0 K is -318 meV/atom. Its magnetization is 0.0 μB/f.u. Its density of states at the Fermi level is 7.020 states/eV per cell.

Cell: 3.265 3.265 8.628 Å, 90.00 90.00 90.00°
Fractional coordinates of all 4 atoms:
Pa (0.000, 0.000, 0.229)
Pa (0.000, 0.000, 0.771)
Sn (0.500, 0.500, 0.500)
Pd (0.500, 0.500, 0.000)

=====

First-principles (GGA-PBE) data for PuAg2S3 after structural relaxation, as listed in Alexandria via LeMat-Bulk.

## Properties
The volume comes out at 22.2 A^3/atom. The electronic total energy is -6.117 eV per atom. Its formation energy without anion corrections is -714 meV/atom. Its magnetization is 4.0 μB/f.u. For the relative energy among the computed polymorphs, the calculation gives 0.0 meV per atom. Its density of states at the Fermi level is 16.957 states/eV per cell.

Cell: 6.978 4.001 9.600 Å, 90.00 96.35 90.00°
Fractional coordinates of all 12 atoms:
Pu (0.133, 0.250, 0.173)
Pu (0.867, 0.750, 0.827)
Ag (0.312, 0.250, 0.822)
Ag (0.355, 0.750, 0.451)
Ag (0.645, 0.250, 0.549)
Ag (0.688, 0.750, 0.178)
S (0.022, 0.750, 0.329)
S (0.214, 0.750, 0.995)
S (0.500, 0.250, 0.294)
S (0.500, 0.750, 0.706)
S (0.786, 0.250, 0.005)
S (0.978, 0.250, 0.671)

=====

First-principles (GGA-PBE) data for Al4Zn2Ag5 after structural relaxation, as listed in Alexandria via LeMat-Bulk.

## Properties
The volume comes out at 17.0 A^3/atom. The electronic total energy is -2.914 eV per atom. The value obtained for the formation enthalpy at 0 K is -26 meV/atom. Its magnetization is 0.0 μB/f.u. For the relative energy among the computed polymorphs, the calculation gives 0.0 meV per atom. Its density of states at the Fermi level is 2.296 states/eV per cell.

Cell: 9.546 9.546 6.583 Å, 94.23 94.23 18.26°
Fractional coordinates of all 11 atoms:
Al (0.044, 0.044, 0.335)
Al (0.272, 0.272, 0.175)
Al (0.728, 0.728, 0.825)
Al (0.956, 0.956, 0.665)
Zn (0.417, 0.417, 0.323)
Zn (0.583, 0.583, 0.677)
Ag (0.135, 0.135, 0.030)
Ag (0.182, 0.182, 0.479)
Ag (0.500, 0.500, 0.000)
Ag (0.818, 0.818, 0.521)
Ag (0.865, 0.865, 0.970)

=====

First-principles (GGA-PBE) data for Er4CdRu after structural relaxation, as listed in Alexandria via LeMat-Bulk.

## Properties
The volume comes out at 25.5 A^3/atom. The electronic total energy is -5.093 eV per atom. The value obtained for the formation enthalpy at 0 K is -352 meV/atom. Its magnetization is 0.0 μB/f.u. For the relative energy among the computed polymorphs, the calculation gives 0.0 meV per atom. Its density of states at the Fermi level is 25.827 states/eV per cell.

Cell: 9.534 9.534 9.534 Å, 60.00 60.00 60.00°
Fractional coordinates of all 24 atoms:
Er (0.039, 0.654, 0.654)
Er (0.061, 0.061, 0.439)
Er (0.061, 0.439, 0.061)
Er (0.061, 0.439, 0.439)
Er (0.189, 0.189, 0.811)
Er (0.189, 0.811, 0.189)
Er (0.189, 0.811, 0.811)
Er (0.439, 0.061, 0.061)
Er (0.439, 0.061, 0.439)
Er (0.439, 0.439, 0.061)
Er (0.654, 0.039, 0.654)
Er (0.654, 0.654, 0.039)
Er (0.654, 0.654, 0.654)
Er (0.811, 0.189, 0.189)
Er (0.811, 0.189, 0.811)
Er (0.811, 0.811, 0.189)
Cd (0.419, 0.419, 0.419)
Cd (0.419, 0.419, 0.742)
Cd (0.419, 0.742, 0.419)
Cd (0.742, 0.419, 0.419)
Ru (0.418, 0.861, 0.861)
Ru (0.861, 0.418, 0.861)
Ru (0.861, 0.861, 0.418)
Ru (0.861, 0.861, 0.861)